First-principles (PBE) data for an optimized crystal structure of OsSeN2F, as listed in Alexandria via LeMat-Bulk.

Structure (POSCAR):
```
OsSeN2F
1.0
-1.899 -1.659 2.941
-2.012 -2.153 -2.514
2.795 -2.845 0.199
N Se Os F
2 1 1 1
direct
0.500 0.000 0.000
0.000 0.500 0.000
0.000 0.000 0.500
0.500 0.500 0.500
0.000 0.000 0.000
```

Computed properties:
Offset from the most stable computed form (eV/atom): 1.997
E_form (uncorrected) (eV/f.u.): 12.4
Symmetry: P4/mmm


First-principles (PBE) data for an optimized crystal structure of DyInPdAu, as listed in Alexandria via LeMat-Bulk.

Structure (POSCAR):
```
DyInPdAu
1.0
4.878 0.000 0.000
2.439 4.225 0.000
2.439 1.408 3.983
Au Pd Dy In
1 1 1 1
direct
0.000 0.000 0.000
0.500 0.500 0.500
0.750 0.750 0.750
0.250 0.250 0.250
```

Computed properties:
Formation enthalpy at 0 K (eV per atom): -0.74
Symmetry: F-43m


First-principles (PBE) data for an optimized crystal structure of Cr2ReRu, as listed in Alexandria via LeMat-Bulk.

Structure (POSCAR):
```
Cr2ReRu
1.0
-3.859 -2.339 -0.604
3.023 -2.832 1.889
-0.831 0.741 2.440
Cr Re Ru
2 1 1
direct
0.500 0.500 0.000
0.000 0.000 0.000
0.500 0.000 0.500
0.000 0.500 0.500
```

Computed properties:
Formation enthalpy at 0 K (eV per atom): 0.16
Symmetry: Cmmm